1.
A plane-wave DFT calculation with PBE-GGA was carried out for Bi3SbTe3 after structural relaxation.

The structure in POSCAR format:
```
Bi3SbTe3
1.0
6.2927 0.0000 0.0000
0.0000 9.0466 -0.7756
0.0000 1.0399 8.8693
Bi Sb Te
6 2 6
direct
0.2500 0.6178 0.8324
0.2500 0.1941 0.8081
0.2500 0.1138 0.3386
0.7500 0.3822 0.1676
0.7500 0.8059 0.1919
0.7500 0.8862 0.6614
0.2500 0.4427 0.5504
0.7500 0.5573 0.4496
0.7500 0.6122 0.8959
0.7500 0.1335 0.8730
0.7500 0.0942 0.3805
0.2500 0.3878 0.1041
0.2500 0.8665 0.1270
0.2500 0.9058 0.6195
```

Results
Space-group type: No. 11
Magnetic moment: 0.0 μB per cell
Formation energy without anion corrections: -37.4 meV/atom


2.
A plane-wave DFT calculation with PBE-GGA was carried out for Zn2WSe after structural relaxation.

The structure in POSCAR format:
```
Zn2WSe
1.0
5.4051 0.0092 -0.0015
2.7755 4.6381 0.0015
-3.6929 -3.0232 2.5373
Se W Zn
1 1 2
direct
0.7500 0.2500 0.5000
0.2500 0.7500 0.5000
0.9974 0.9974 0.0000
0.5026 0.5026 0.0000
```

Results
Space-group type: No. 71
Magnetic moment: 0.0 μB per cell
Formation energy without anion corrections: 462.4 meV/atom


3.
A plane-wave DFT calculation with PBE-GGA was carried out for PaAl2ZnNi4 after structural relaxation.

The structure in POSCAR format:
```
PaAl2ZnNi4
1.0
4.0608 0.0000 0.0000
2.0304 3.5168 0.0000
2.0304 1.1723 8.0511
Pa Al Zn Ni
1 2 1 4
direct
0.0000 0.0000 0.0000
0.7632 0.7632 0.7103
0.2368 0.2368 0.2897
0.5000 0.5000 0.5000
0.3991 0.3991 0.8028
0.8709 0.8709 0.3872
0.1291 0.1291 0.6128
0.6009 0.6009 0.1972
```

Results
Space-group type: No. 166
Formation enthalpy at 0 K: -0.4398 eV per atom
Magnetic moment: 0.0 μB per cell